NbInFeNi after structural relaxation. Source: OQMD via LeMat-Bulk, functional PBE.

## Properties
- DFT total energy: -6.4997 eV per atom
- Total magnetization: 1.986 μB per formula unit

a = 6.270 Å, b = 6.270 Å, c = 6.270 Å
α = 90.00°, β = 90.00°, γ = 90.00°
Space group F-43m (No. 216)
Unique sites:
Nb  0.000  0.000  0.000 [4 per cell]
In  0.250  0.250  0.250 [4 per cell]
Fe  0.250  0.250  0.750 [4 per cell]
Ni  0.000  0.000  0.500 [4 per cell]